No. 1
Compound: Fe2SnGePb
Source: Alexandria via LeMat-Bulk
Functional: PBE-GGA
Structure: relaxed

Results
- uncorrected energy (Ry/atom) = -0.36970
- crystal system = tetragonal
- DOS at the Fermi energy (states/eV per cell) = 7.0
- symmetry = No. 123

abc: 4.569 4.569 5.412
angles: 90.00 90.00 90.00
Element x y z (fractional)
1 Fe 0.000 0.500 0.000
2 Fe 0.500 0.000 0.000
3 Sn 0.000 0.000 0.500
4 Ge 0.500 0.500 0.000
5 Pb 0.500 0.500 0.500


No. 2
Compound: PrNd4Pb4
Source: Alexandria via LeMat-Bulk
Functional: PBE-GGA
Structure: relaxed

Results
- uncorrected energy (Ry/atom) = -0.33953
- crystal system = tetragonal
- DOS at the Fermi energy (states/eV per cell) = 8.5
- symmetry = No. 87

abc: 7.839 7.839 7.839
angles: 99.70 99.70 131.53
Element x y z (fractional)
1 Pr 0.000 0.000 0.000
2 Nd 0.206 0.599 0.805
3 Nd 0.401 0.206 0.606
4 Nd 0.599 0.794 0.394
5 Nd 0.794 0.401 0.195
6 Pb 0.097 0.300 0.398
7 Pb 0.300 0.903 0.203
8 Pb 0.700 0.097 0.797
9 Pb 0.903 0.700 0.602